1.
VASP calculation (PBE) on LaTc2 after structural relaxation.

Properties
- Total magnetization: 0.0 μB/cell
- ΔH_f (0 K): 1425 meV per atom
- Energy above the most stable polymorph in this dataset: 4.16 eV/f.u.

a b c (Å): 4.4173 4.4173 4.4173
angles (deg): 60.00 60.00 60.00
Fractional positions:
1 La 0.0000 0.0000 0.0000
2 Tc 0.7500 0.7500 0.7500
3 Tc 0.2500 0.2500 0.2500

2.
VASP calculation (PBE) on La5Tc after structural relaxation.

Properties
- Total magnetization: 1.5 μB/cell
- ΔH_f (0 K): 906 meV per atom
- Energy above the most stable polymorph in this dataset: 5.08 eV/f.u.

a b c (Å): 6.2020 6.2020 6.0207
angles (deg): 90.00 90.00 120.00
Site moments in Bohr magnetons follow the coordinates.
Fractional positions:
1 La 0.0000 0.5000 0.5000  -0.13
2 La 0.3333 0.6667 0.0000  -0.12
3 La 0.5000 0.0000 0.5000  -0.13
4 La 0.5000 0.5000 0.5000  -0.13
5 La 0.6667 0.3333 0.0000  -0.12
6 Tc 0.0000 0.0000 0.0000  2.29